# 1
Entry from Alexandria via LeMat-Bulk: a geometry-optimized As4Pb9S15 structure (PBE-GGA).

**V**: 26.57 A^3/atom
**Space-group type**: R3m, No. 160
**Energy above the most stable polymorph in this dataset**: 0 meV per atom

The structure in POSCAR format:
```
As4Pb9S15
1.0
10.7801 -0.0038 -0.0090
-4.4327 9.8266 -0.0090
-4.4327 -6.8597 7.0360
As Pb S
4 9 15
Cartesian
0.0986 0.1525 0.3613
-1.1552 5.4902 2.8484
-1.1552 -1.7877 5.9211
5.4800 1.2026 2.8484
2.3243 -0.8250 4.2161
2.3243 3.5969 2.3492
-1.7071 1.7801 4.2161
-5.1505 0.9026 6.8751
6.0343 -2.9299 5.4418
2.9391 7.9433 1.6955
-5.1505 4.2976 5.4418
2.9391 -4.3248 6.8751
6.0343 5.9433 1.6955
3.7491 -1.6477 6.4923
3.7491 5.8019 3.3471
-3.0426 2.7411 6.4923
-0.6122 2.2697 0.8867
-0.6122 -0.9475 2.2450
2.3208 0.3744 0.8867
0.0662 4.3974 4.4224
0.0662 0.1025 6.2358
3.9819 1.8672 4.4224
4.3926 -2.3156 2.7730
1.4793 5.4848 0.2745
-3.9159 -0.1421 4.1221
4.3926 3.6022 0.2745
1.4793 -3.6285 4.1221
-3.9159 3.0533 2.7730
```



# 2
Entry from Alexandria via LeMat-Bulk: a geometry-optimized AsPb3S2 structure (PBE-GGA).

**V**: 26.96 A^3/atom
**E**: -4.3107 eV per atom
**Space-group type**: I4/mmm, No. 139

The structure in POSCAR format:
```
AsPb3S2
1.0
4.1048 -0.0023 -0.9348
-0.2148 4.0991 -0.9354
0.0293 0.0322 9.5996
As Pb S
1 3 2
Cartesian
1.7138 1.8143 7.5761
3.6586 3.8626 6.6407
1.0543 1.1157 4.6761
2.3465 2.4763 0.8768
0.3915 0.4184 1.7697
3.0084 3.1749 3.7835
```



# 3
Entry from Alexandria via LeMat-Bulk: a geometry-optimized AsPbS2 structure (PBE-GGA).

**V**: 27.09 A^3/atom
**Space-group type**: P2_1/c, No. 14
**Energy above the most stable polymorph in this dataset**: 0 meV per atom

The structure in POSCAR format:
```
AsPbS2
1.0
-0.8998 -1.0469 5.3561
-10.6043 -3.4454 -0.5825
2.2252 -6.6908 -0.9339
As Pb S
4 4 8
Cartesian
0.8077 -5.1324 2.2330
-10.0866 -6.0507 1.6066
-5.1268 -3.2987 2.0416
-4.1522 -7.8844 1.7981
-2.5676 -2.1085 4.5734
-2.1591 -5.0970 -0.1278
-6.7114 -9.0747 -0.7338
-7.1198 -6.0861 3.9674
0.8294 -5.2609 -0.0569
-4.8805 -3.9761 4.2190
-10.1083 -5.9222 3.8965
-4.3985 -7.2070 -0.3794
-1.7029 -2.6801 1.6673
-6.9996 -4.4192 1.3737
-7.5761 -8.5030 2.1723
-2.2794 -6.7639 2.4659
```



# 4
Entry from Alexandria via LeMat-Bulk: a geometry-optimized AsPbS2 structure (PBE-GGA).

**V**: 29.18 A^3/atom
**Space-group type**: I-42d, No. 122
**Energy above the most stable polymorph in this dataset**: 311 meV per atom

The structure in POSCAR format:
```
AsPbS2
1.0
5.6809 0.0000 0.0000
0.0000 5.6809 0.0000
2.8405 2.8405 7.2321
Pb As S
2 2 4
Cartesian
0.0000 0.0000 0.0000
5.6809 2.8405 3.6161
2.8405 2.8405 0.0000
2.8405 5.6809 3.6161
3.9271 1.4202 1.8080
1.7538 4.2607 1.8080
4.2607 4.5943 5.4241
7.1011 6.7675 5.4241
```



# 5
Entry from Alexandria via LeMat-Bulk: a geometry-optimized AsPb2S4 structure (PBE-GGA).

**V**: 26.22 A^3/atom
**Space-group type**: P2_1/m, No. 11
**Energy above the most stable polymorph in this dataset**: 15 meV per atom

The structure in POSCAR format:
```
AsPb2S4
1.0
6.9261 0.0000 0.0451
0.0000 6.6645 0.0000
-2.4965 0.0000 7.9368
As Pb S
2 4 8
Cartesian
1.4321 4.9984 1.6067
2.9975 1.6661 6.3752
5.1125 4.9984 0.4633
-0.6829 1.6661 7.5186
0.6392 1.6661 3.3256
3.7904 4.9984 4.6563
2.7325 3.2006 2.0898
-1.7515 4.9984 7.2059
6.1811 1.6661 0.7760
2.7325 0.1316 2.0898
4.7682 1.6661 4.9994
1.6971 6.5329 5.8921
1.6971 3.4639 5.8921
-0.3387 4.9984 2.9825
```



# 6
Entry from Alexandria via LeMat-Bulk: a geometry-optimized AsPb2S structure (PBE-GGA).

**V**: 26.92 A^3/atom
**Space-group type**: R-3m, No. 166
**Energy above the most stable polymorph in this dataset**: 0 meV per atom

The structure in POSCAR format:
```
AsPb2S
1.0
4.2440 0.0000 0.0000
2.1220 3.6754 0.0000
2.1220 1.2251 6.9026
Pb As S
2 1 1
Cartesian
2.1220 1.2251 1.6999
6.3660 3.6754 5.2026
0.0000 0.0000 0.0000
4.2440 2.4503 3.4513
```



# 7
Entry from Alexandria via LeMat-Bulk: a geometry-optimized As2Pb2S5 structure (PBE-GGA).

**V**: 25.53 A^3/atom
**Space-group type**: C2/m, No. 12
**Energy above the most stable polymorph in this dataset**: 44 meV per atom

The structure in POSCAR format:
```
As2Pb2S5
1.0
-4.9020 -0.6222 -0.9121
4.1418 -4.9770 -5.0239
-0.4721 -3.4327 4.8784
As Pb S
2 2 5
Cartesian
0.1152 -4.8123 2.6636
-1.3474 -4.2195 -3.7212
1.1261 -6.9399 -1.3183
-2.3583 -2.0918 0.2607
1.1121 -3.6322 -3.4991
-2.3443 -5.3996 2.4416
0.2359 -3.3467 1.0148
-1.4682 -5.6851 -2.0724
0.0000 0.0000 0.0000
```



# 8
Entry from Alexandria via LeMat-Bulk: a geometry-optimized AsPb2S4 structure (PBE-GGA).

**V**: 26.09 A^3/atom
**Space-group type**: P2_1/m, No. 11
**Energy above the most stable polymorph in this dataset**: 0 meV per atom

The structure in POSCAR format:
```
AsPb2S4
1.0
-3.3959 3.3740 -2.9129
-1.9289 -5.5718 -4.2050
-6.1448 -0.1818 6.9531
As Pb S
2 4 8
Cartesian
-4.2072 -2.3442 -0.5054
-7.2624 -0.0354 0.3406
-8.1723 -3.5547 2.7149
-3.2973 1.1752 -2.8797
-8.1737 -2.7215 -1.7083
-3.2959 0.3420 1.5435
-6.8472 -0.1269 2.6025
-1.7144 0.0574 -0.6297
-9.7552 -2.4370 0.4649
-5.2482 -1.7157 3.9741
-5.4636 1.1098 -0.4299
-6.2214 -0.6639 -4.1390
-4.6224 -2.2527 -2.7673
-6.0060 -3.4894 0.2651
```



# 9
Entry from Alexandria via LeMat-Bulk: a geometry-optimized AsPb5S4 structure (PBE-GGA).

**V**: 26.95 A^3/atom
**E**: -4.3538 eV per atom
**Space-group type**: I4/m, No. 87

The structure in POSCAR format:
```
AsPb5S4
1.0
-4.2659 -1.2970 -3.9344
-5.6881 -3.6727 2.8845
-5.1921 5.1843 -0.5731
As Pb S
1 5 4
Cartesian
-0.0041 -0.0013 -0.0038
-10.2810 1.5166 -2.8407
-8.9515 -0.2298 0.7871
-6.2013 0.4423 -2.4163
-4.8718 -1.3041 1.2114
-2.1373 -0.6498 -1.9712
-8.1655 2.1921 -0.8680
-11.1032 -0.8943 -1.1589
-4.0539 1.1056 -0.4743
-6.9916 -1.9809 -0.7652
```



# 10
Entry from Alexandria via LeMat-Bulk: a geometry-optimized As2PbS4 structure (PBE-GGA).

**V**: 28.65 A^3/atom
**Space-group type**: P1, No. 1
**Energy above the most stable polymorph in this dataset**: 25 meV per atom

The structure in POSCAR format:
```
As2PbS4
1.0
-3.8890 5.2628 5.6678
-4.0789 -1.6223 -7.4533
1.2231 -6.8838 2.8506
As Pb S
4 2 8
Cartesian
-3.1169 -3.1020 2.4133
-3.9702 0.6038 1.7826
-1.2909 -5.5312 0.4027
-5.9370 -0.4000 -2.7651
-3.1031 -2.8741 -2.5056
-2.7837 -7.9308 -4.4197
-3.6015 2.1353 3.5000
-2.7413 -0.4742 -1.1611
-2.8944 -0.6177 5.8014
-4.9750 -1.7503 -4.2893
-5.6244 -0.5754 2.7403
-4.1210 -3.5652 0.4503
-5.4682 1.9900 0.6639
-1.0060 -3.9544 2.0939
```



# 11
Entry from Alexandria via LeMat-Bulk: a geometry-optimized As2PbS4 structure (PBE-GGA).

**V**: 22.19 A^3/atom
**Space-group type**: Cmcm, No. 63
**Energy above the most stable polymorph in this dataset**: 56 meV per atom

The structure in POSCAR format:
```
As2PbS4
1.0
-2.1068 2.7090 1.6004
-1.9861 -0.5623 -6.1423
-8.8779 -9.0922 3.7030
As Pb S
4 2 8
Cartesian
-4.7759 -3.7884 0.1255
-11.5911 -6.6353 0.4522
-1.3797 -0.3102 -1.2911
-8.1949 -3.1571 -0.9643
-8.1905 -5.3399 2.7362
-4.7803 -1.6056 -3.5751
-3.6388 0.7972 -1.6599
-6.1613 -1.7862 -0.6077
-9.3320 -7.7427 0.8210
-6.8095 -5.1593 -0.2312
-10.2742 -4.7968 -0.9261
-2.6966 -2.1487 0.0872
-1.0534 1.3545 0.8002
-5.4923 -3.1916 2.6517
```



# 12
Entry from Alexandria via LeMat-Bulk: a geometry-optimized As2Pb2S5 structure (PBE-GGA).

**V**: 29.63 A^3/atom
**Space-group type**: P-1, No. 2
**Energy above the most stable polymorph in this dataset**: 0 meV per atom

The structure in POSCAR format:
```
As2Pb2S5
1.0
3.7240 -0.9758 -0.7610
-2.3390 8.6461 -1.9480
0.1187 0.3725 8.7675
As Pb S
2 2 5
Cartesian
2.1512 2.9300 4.2092
-0.6475 5.1129 1.8494
2.2610 -0.1656 1.5997
-0.7573 8.2085 4.4588
1.3195 2.6296 2.0742
0.1842 5.4133 3.9843
-0.3569 1.9972 5.2137
1.8606 6.0456 0.8449
0.0000 0.0000 0.0000
```



# 13
Entry from Alexandria via LeMat-Bulk: a geometry-optimized As3Pb12S5 structure (PBE-GGA).

**V**: 32.95 A^3/atom
**E**: -3.9743 eV per atom
**Space-group type**: Ia-3d, No. 230

The structure in POSCAR format:
```
As3Pb12S5
1.0
-3.7691 14.5936 0.1530
-4.1343 -6.3937 13.0089
14.9154 -1.3192 -1.7299
As S Pb
12 20 48
Cartesian
-2.5128 8.3827 4.7768
-4.5343 7.8092 9.6743
4.8080 -0.1471 8.7328
4.1342 2.3545 1.0156
-0.0859 11.6404 1.3275
-0.2685 1.1468 7.7554
7.2805 5.7340 3.6765
7.0979 -4.7596 10.1045
2.8778 4.5262 10.4163
2.2040 7.0279 2.6991
11.5463 -0.9285 1.7577
9.5248 -1.5019 6.6551
1.7074 -0.9032 4.4650
-2.0671 -3.1968 6.5044
0.0000 0.0000 0.0000
-0.5826 3.7093 3.0933
5.5731 6.6372 -0.7885
-3.9517 4.1000 6.5809
2.0214 -3.4657 9.1271
9.7074 8.9917 0.2272
0.1825 6.4545 7.5966
9.2564 3.6840 0.3860
-2.2443 3.1967 11.0459
3.5060 3.4404 5.7160
-1.8846 7.2968 0.0765
7.4577 -0.6596 -0.8649
6.8295 0.4263 3.8354
-2.6953 -2.1110 11.2048
5.3906 -3.8564 5.6395
4.9906 10.3465 2.3049
7.5946 3.1715 8.3386
5.3047 7.7840 6.9670
-2.4532 9.7114 1.7479
2.7780 0.6645 6.5598
-1.0292 11.0643 4.4454
-1.0563 6.4842 2.8335
4.7686 3.1450 8.4116
-3.3695 9.8521 7.3476
1.6081 -0.6806 9.3805
-2.0389 -4.8396 11.5455
3.9544 1.4971 11.1965
-2.6404 6.6029 7.5624
0.7303 7.9337 5.2505
-6.0915 6.1006 12.0405
4.7870 -3.4496 8.5408
-1.7055 2.5179 5.3981
1.2910 -4.9913 11.3923
6.5255 4.2875 0.7988
2.3427 -0.0076 1.8599
-3.3073 2.0698 8.6811
-2.8164 5.9396 11.4222
-1.0312 -0.7405 5.1478
6.2179 -1.6972 10.9936
1.2391 3.8324 7.6277
1.4012 7.4488 9.9457
9.2277 7.9635 2.8166
5.7730 3.0483 3.8043
5.6109 -0.5681 1.4863
-2.2157 -1.0828 8.6154
9.8284 0.9411 0.0098
0.7941 8.5780 0.4383
8.0432 7.6212 6.2842
10.3193 4.8109 2.7508
0.4865 2.5932 10.6331
4.6693 6.8884 9.5720
5.7210 11.8721 0.0396
2.2250 10.3303 2.8911
13.1035 0.7801 -0.6085
8.7175 4.3628 6.0338
3.0577 5.3836 0.2355
9.6524 0.2778 3.8696
6.2817 -1.0529 6.1815
9.0509 11.7203 -0.1135
5.4039 7.5613 2.0514
8.0683 0.3965 8.5984
10.3815 -2.9713 4.0844
2.2434 3.7357 3.0204
8.0412 -4.1835 6.9865
4.2340 6.2163 4.8722
9.4652 -2.8307 9.6840
```



# 14
Entry from Alexandria via LeMat-Bulk: a geometry-optimized AsPb3S structure (PBE-GGA).

**V**: 32.99 A^3/atom
**Space-group type**: Pm-3m, No. 221
**Energy above the most stable polymorph in this dataset**: 0 meV per atom

The structure in POSCAR format:
```
AsPb3S
1.0
5.4841 0.0000 0.0000
0.0000 5.4841 0.0000
0.0000 0.0000 5.4841
Pb As S
3 1 1
Cartesian
0.0000 2.7421 0.0000
0.0000 0.0000 2.7421
2.7421 0.0000 0.0000
2.7421 2.7421 2.7421
0.0000 0.0000 0.0000
```



# 15
Entry from Alexandria via LeMat-Bulk: a geometry-optimized SbAsPb2S5 structure (PBE-GGA).

**V**: 25.55 A^3/atom
**E**: -4.3610 eV per atom
**Space-group type**: Cmc2_1, No. 36

The structure in POSCAR format:
```
SbAsPb2S5
1.0
-0.5427 -2.1740 -3.3784
-1.8938 -5.8876 6.5250
-12.4321 3.6261 -0.3364
Sb As Pb S
2 2 4 10
Cartesian
-8.0917 -3.0957 0.8595
-1.3273 -2.9293 2.0981
-12.2989 1.6508 -1.5190
-7.5381 -4.6371 4.1947
-11.7887 -3.5475 1.7440
-8.5619 0.9196 0.7835
-4.1532 -0.5750 1.0371
-3.8842 -6.0617 2.0922
-14.0184 -1.5130 3.2253
-12.0341 -0.2696 -0.3258
-11.7461 -4.1270 4.5423
-9.5120 -1.4033 2.4309
-9.2658 -5.1416 2.3646
-7.0497 -1.1143 -0.5829
-6.2240 -3.1772 3.0442
-3.6665 -0.1498 -1.7469
-3.3540 -3.6163 0.4335
-1.1416 -0.5951 0.5663
```



# 16
Entry from Alexandria via LeMat-Bulk: a geometry-optimized TlSbAs2PbS6 structure (PBE-GGA).

**V**: 26.93 A^3/atom
**E**: -4.3130 eV per atom
**Space-group type**: P2_1/c, No. 14

The structure in POSCAR format:
```
TlSbAs2PbS6
1.0
-6.2605 -19.7945 -13.8876
5.0456 0.7571 -3.3536
6.7261 -4.2190 2.9814
Tl Sb As Pb S
4 4 8 4 24
Cartesian
-1.2206 -18.2231 -15.2921
6.7317 -5.0334 1.0323
1.1045 -10.0828 -5.4810
4.4066 -13.1736 -8.7788
1.4988 -10.7063 -11.0400
4.0123 -12.5502 -3.2198
2.8981 -3.3304 0.2779
2.6130 -19.9260 -14.5378
-1.1473 -13.4726 -9.7302
6.6584 -9.7838 -4.5296
4.4778 -3.9358 -3.3974
1.0334 -19.3207 -10.8625
-2.8127 -16.5882 -12.5017
8.3238 -6.6682 -1.7582
3.9237 -7.8376 -5.5492
1.5874 -15.4189 -8.7106
0.0759 -14.3004 -13.1721
5.4352 -8.9560 -1.0878
2.1201 -6.6949 -2.4721
3.3910 -16.5615 -11.7877
2.9628 -9.9745 -9.0880
2.5484 -13.2820 -5.1718
-3.8077 -20.6358 -13.3018
9.3188 -2.6207 -0.9580
2.4898 -13.6472 -11.5750
3.0213 -9.6093 -2.6849
0.7142 -4.1613 -1.8333
4.7969 -19.0952 -12.4265
1.4558 -16.9236 -14.0181
4.0553 -6.3329 -0.2417
-0.3643 -7.5641 -4.0762
5.8754 -15.6924 -10.1837
0.1442 -16.2079 -10.2842
5.3669 -7.0486 -3.9757
2.1075 -4.6113 -5.2364
3.4036 -18.6451 -9.0235
0.6092 -7.7762 -7.7676
4.9019 -15.4802 -6.4923
-0.5085 -19.8442 -12.5246
6.0196 -3.4123 -1.7352
0.7208 -13.2708 -8.3476
4.7904 -9.9856 -5.9123
3.3100 -1.9235 -3.2267
2.2011 -21.3329 -11.0332
```